A relaxed Tm3Be2Ge4 crystal, computed with PBE-GGA.

```
data_Tm3Be2Ge4
_chemical_formula_sum 'Tm6 Be4 Ge8'
_space_group_name_H-M_alt 'C 1 2/m 1'
_space_group_IT_number 12
_cell_length_a 10.719
_cell_length_b 3.968
_cell_length_c 8.137
_cell_angle_alpha 90.00
_cell_angle_beta 109.30
_cell_angle_gamma 90.00
loop_
_space_group_symop_operation_xyz
'x,y,z'
'-x,-y,-z'
'-x,y,-z'
'x,-y,z'
'x+1/2,y+1/2,z'
'-x+1/2,-y+1/2,-z'
'-x+1/2,y+1/2,-z'
'x+1/2,-y+1/2,z'
loop_
_atom_site_label
_atom_site_fract_x
_atom_site_fract_y
_atom_site_fract_z
Tm1 0.000 0.000 0.000
Tm2 0.120 0.500 0.689
Be1 0.194 0.500 0.361
Ge1 0.098 0.000 0.392
Ge2 0.211 0.500 0.076
```

Properties
Energy relative to the elements: -53 kJ/mol of atoms
Total magnetic moment: 0.00 μB per formula unit
Volume: 163.3 Å³/f.u.
Electronic total energy: -4.924 eV per atom

A relaxed SnBi2HO6 crystal, computed with PBE-GGA.

```
data_SnBi2HO6
_chemical_formula_sum 'Sn2 Bi4 H2 O12'
_space_group_name_H-M_alt 'P n n m'
_space_group_IT_number 58
_cell_length_a 4.690
_cell_length_b 6.036
_cell_length_c 9.855
_cell_angle_alpha 90.00
_cell_angle_beta 90.00
_cell_angle_gamma 90.00
loop_
_space_group_symop_operation_xyz
'x,y,z'
'-x,-y,-z'
'-x,-y,z'
'x,y,-z'
'x+1/2,-y+1/2,-z+1/2'
'-x+1/2,y+1/2,z+1/2'
'-x+1/2,y+1/2,-z+1/2'
'x+1/2,-y+1/2,z+1/2'
loop_
_atom_site_label
_atom_site_fract_x
_atom_site_fract_y
_atom_site_fract_z
Sn1 0.000 0.000 0.000
Bi1 0.000 0.500 0.183
H1 0.000 0.000 0.500
O1 0.209 0.162 0.152
O2 0.225 0.120 0.500
```

Properties
Total magnetic moment: 0.00 μB per formula unit
Volume: 139.5 Å³/f.u.
Electronic total energy: -5.562 eV per atom

A relaxed ScRe3H crystal, computed with PBE-GGA.

```
data_ScRe3H
_chemical_formula_sum 'Sc1 Re3 H1'
_space_group_name_H-M_alt 'P m -3 m'
_space_group_IT_number 221
_space_group_name_Hall '-P 4 2 3'
_cell_length_a 4.611
_cell_length_b 4.611
_cell_length_c 4.611
_cell_angle_alpha 90.00
_cell_angle_beta 90.00
_cell_angle_gamma 90.00
loop_
_atom_site_label
_atom_site_fract_x
_atom_site_fract_y
_atom_site_fract_z
Sc1 0.000 0.000 0.000
Re1 0.000 0.000 0.500
H1 0.500 0.500 0.500
```

Properties
Total magnetic moment: 0.56 μB per formula unit
Volume: 98.0 Å³/f.u.
Electronic total energy: -6.118 eV per atom

A relaxed Ag3Rh2 crystal, computed with PBE-GGA.

```
data_Ag3Rh2
_chemical_formula_sum 'Ag6 Rh4'
_space_group_name_H-M_alt 'I m m m'
_space_group_IT_number 71
_space_group_name_Hall '-I 2 2'
_cell_length_a 2.754
_cell_length_b 4.235
_cell_length_c 14.041
_cell_angle_alpha 90.00
_cell_angle_beta 90.00
_cell_angle_gamma 90.00
loop_
_atom_site_label
_atom_site_fract_x
_atom_site_fract_y
_atom_site_fract_z
Ag1 0.000 0.000 0.000
Ag2 0.000 0.000 0.198
Rh1 0.000 0.000 0.406
```

Properties
Energy relative to the elements: 28 kJ/mol of atoms
Total magnetic moment: 1.33 μB per formula unit
Volume: 81.9 Å³/f.u.
Electronic total energy: -4.365 eV per atom